Entry 1:
# HfCd2BiSe, single point on PBEsol structure, DFT SCAN
data_HfCd2BiSe
_cell_length_a 5.484
_cell_length_b 5.484
_cell_length_c 5.503
_cell_angle_alpha 90.00
_cell_angle_beta 90.00
_cell_angle_gamma 90.00
_symmetry_space_group_name_H-M 'P 4/m m m'
_symmetry_Int_Tables_number 123
_symmetry_space_group_name_Hall '-P 4 2'
loop_
_atom_site_label
_atom_site_fract_x
_atom_site_fract_y
_atom_site_fract_z
_atom_site_occupancy
Hf1 0.000 0.000 0.000 1
Cd1 0.000 0.500 0.000 1
Bi1 0.000 0.000 0.500 1
Se1 0.500 0.500 0.500 1
# * E_tot: -43.648 eV per atom
# * mass density: 6.9 Mg/m³
# * energy relative to the elements, uncorrected: 0.784 eV per atom

Entry 2:
# CdHgBi2, single point on PBEsol structure, DFT SCAN
data_CdHgBi2
_cell_length_a 7.498
_cell_length_b 7.498
_cell_length_c 7.498
_cell_angle_alpha 90.00
_cell_angle_beta 90.00
_cell_angle_gamma 90.00
_symmetry_space_group_name_H-M 'F m -3 m'
_symmetry_Int_Tables_number 225
_symmetry_space_group_name_Hall '-F 4 2 3'
loop_
_atom_site_label
_atom_site_fract_x
_atom_site_fract_y
_atom_site_fract_z
_atom_site_occupancy
Cd1 0.000 0.000 0.000 1
Hg1 0.000 0.000 0.500 1
Bi1 0.250 0.250 0.250 1
# * E_tot: -63.726 eV per atom
# * mass density: 11.5 Mg/m³
# * formation energy: 0.21 eV per atom

Entry 3:
# Cd2Hg2Bi, single point on PBEsol structure, DFT SCAN
data_Cd2Hg2Bi
_cell_length_a 8.538
_cell_length_b 8.538
_cell_length_c 3.261
_cell_angle_alpha 90.00
_cell_angle_beta 90.00
_cell_angle_gamma 90.00
_symmetry_space_group_name_H-M 'P 4/m b m'
_symmetry_Int_Tables_number 127
_symmetry_space_group_name_Hall '-P 4 2ab'
loop_
_atom_site_label
_atom_site_fract_x
_atom_site_fract_y
_atom_site_fract_z
_atom_site_occupancy
Cd1 0.126 0.374 0.000 1
Hg1 0.171 0.671 0.500 1
Bi1 0.000 0.000 0.500 1
# * E_tot: -55.079 eV per atom
# * mass density: 11.7 Mg/m³
# * formation energy: 0.07 eV per atom

Entry 4:
# Sr2CdHgBi, single point on PBEsol structure, DFT SCAN
data_Sr2CdHgBi
_cell_length_a 6.122
_cell_length_b 6.122
_cell_length_c 5.507
_cell_angle_alpha 90.00
_cell_angle_beta 90.00
_cell_angle_gamma 90.00
_symmetry_space_group_name_H-M 'P 4/m m m'
_symmetry_Int_Tables_number 123
_symmetry_space_group_name_Hall '-P 4 2'
loop_
_atom_site_label
_atom_site_fract_x
_atom_site_fract_y
_atom_site_fract_z
_atom_site_occupancy
Sr1 0.000 0.500 0.000 1
Cd1 0.000 0.000 0.000 1
Hg1 0.500 0.500 0.500 1
Bi1 0.000 0.000 0.500 1
# * E_tot: -44.469 eV per atom
# * mass density: 5.6 Mg/m³
# * formation energy: -0.13 eV per atom

Entry 5:
# Cd2BiI, single point on PBEsol structure, DFT SCAN
data_Cd2BiI
_cell_length_a 6.654
_cell_length_b 6.654
_cell_length_c 13.847
_cell_angle_alpha 90.00
_cell_angle_beta 90.00
_cell_angle_gamma 90.00
_symmetry_space_group_name_H-M 'I -4 2 d'
_symmetry_Int_Tables_number 122
_symmetry_space_group_name_Hall 'I -4 2bw'
loop_
_atom_site_label
_atom_site_fract_x
_atom_site_fract_y
_atom_site_fract_z
_atom_site_occupancy
Cd1 0.218 0.250 0.125 1
Bi1 0.000 0.000 0.000 1
I1 0.000 0.000 0.500 1
# * E_tot: -44.225 eV per atom
# * mass density: 6.1 Mg/m³
# * energy relative to the elements, uncorrected: -0.187 eV per atom

Entry 6:
# CdBiIN2, single point on PBEsol structure, DFT SCAN
data_CdBiIN2
_cell_length_a 4.309
_cell_length_b 4.309
_cell_length_c 6.769
_cell_angle_alpha 90.00
_cell_angle_beta 90.00
_cell_angle_gamma 90.00
_symmetry_space_group_name_H-M 'P 4/m m m'
_symmetry_Int_Tables_number 123
_symmetry_space_group_name_Hall '-P 4 2'
loop_
_atom_site_label
_atom_site_fract_x
_atom_site_fract_y
_atom_site_fract_z
_atom_site_occupancy
Cd1 0.000 0.000 0.000 1
Bi1 0.500 0.500 0.500 1
I1 0.500 0.500 0.000 1
N1 0.000 0.500 0.500 1
# * E_tot: -31.452 eV per atom
# * mass density: 6.3 Mg/m³
# * energy relative to the elements, uncorrected: 1.411 eV per atom

Entry 7:
# Cd2In2Bi, single point on PBEsol structure, DFT SCAN
data_Cd2In2Bi
_cell_length_a 8.760
_cell_length_b 8.760
_cell_length_c 3.292
_cell_angle_alpha 90.00
_cell_angle_beta 90.00
_cell_angle_gamma 90.00
_symmetry_space_group_name_H-M 'P 4/m b m'
_symmetry_Int_Tables_number 127
_symmetry_space_group_name_Hall '-P 4 2ab'
loop_
_atom_site_label
_atom_site_fract_x
_atom_site_fract_y
_atom_site_fract_z
_atom_site_occupancy
Cd1 0.118 0.382 0.000 1
In1 0.181 0.681 0.500 1
Bi1 0.000 0.000 0.500 1
# * E_tot: -41.145 eV per atom
# * mass density: 8.7 Mg/m³
# * formation energy: 0.09 eV per atom

Entry 8:
# CdIn2Bi, single point on PBEsol structure, DFT SCAN
data_CdIn2Bi
_cell_length_a 8.357
_cell_length_b 8.357
_cell_length_c 6.195
_cell_angle_alpha 90.00
_cell_angle_beta 90.00
_cell_angle_gamma 90.00
_symmetry_space_group_name_H-M 'I -4 2 d'
_symmetry_Int_Tables_number 122
_symmetry_space_group_name_Hall 'I -4 2bw'
loop_
_atom_site_label
_atom_site_fract_x
_atom_site_fract_y
_atom_site_fract_z
_atom_site_occupancy
Cd1 0.000 0.000 0.000 1
In1 0.243 0.750 0.125 1
Bi1 0.000 0.000 0.500 1
# * E_tot: -43.874 eV per atom
# * mass density: 8.5 Mg/m³
# * formation energy: 0.07 eV per atom